The following is a DFT calculation (PBE) of Gd3In3Ni2Ir after structural relaxation.

Cell lengths 7.4586, 7.4586, 3.9713 Å; angles 90.00, 90.00, 120.00 degrees
Closest atoms and distances in Å follow each position.
Positions (direct):
1 Gd 0.0000 0.5946 0.0000  4 Ni 3.01, 1 Ir 3.02, 6 In 3.18-3.31
2 Gd 0.4054 0.4054 0.0000  4 Ni 3.01, 1 Ir 3.02, 6 In 3.18-3.31
3 Gd 0.5946 0.0000 0.0000  4 Ni 3.01, 1 Ir 3.02, 6 In 3.18-3.31
4 In 0.0000 0.2611 0.5000  2 Ir 2.78, 2 Ni 2.79
5 In 0.2611 0.0000 0.5000  2 Ir 2.78, 2 Ni 2.79
6 In 0.7389 0.7389 0.5000  2 Ir 2.78, 2 Ni 2.79
7 Ni 0.3333 0.6667 0.5000  3 In 2.79, 6 Gd 3.01
8 Ni 0.6667 0.3333 0.5000  3 In 2.79, 6 Gd 3.01
9 Ir 0.0000 0.0000 0.0000  6 In 2.78, 3 Gd 3.02

Properties
VASP energy = -0.3835 Ry per atom

***

The following is a DFT calculation (PBE) of NdBiN2O after structural relaxation.

Cell lengths 8.1970, 5.9149, 6.1085 Å; angles 90.00, 90.00, 90.00 degrees
Closest atoms and distances in Å follow each position.
Positions (direct):
1 Nd 0.0000 0.2344 0.0000  4 O 2.46-2.70, 2 N 2.48-2.49
2 Nd 0.0000 0.7656 0.5000  4 O 2.46-2.70, 2 N 2.48-2.49
3 Nd 0.5000 0.2606 0.1124  4 N 2.38-2.49
4 Nd 0.5000 0.7394 0.6124  4 N 2.38-2.49
5 Bi 0.2530 0.2643 0.5587  4 N 2.18-2.22, 2 O 2.28-2.31
6 Bi 0.2530 0.7357 0.0587  4 N 2.18-2.22, 2 O 2.28-2.31
7 Bi 0.7470 0.2643 0.5587  4 N 2.18-2.22, 2 O 2.28-2.31
8 Bi 0.7470 0.7357 0.0587  4 N 2.18-2.22, 2 O 2.28-2.31
9 N 0.0000 0.3622 0.6111  2 Bi 2.18
10 N 0.0000 0.6378 0.1111  2 Bi 2.18
11 N 0.3004 0.4255 0.8746  2 Bi 2.19, 1 Nd 2.40
12 N 0.3004 0.5745 0.3746  2 Bi 2.19, 1 Nd 2.40
13 N 0.5000 0.1234 0.4969  2 Bi 2.22, 2 Nd 2.38-2.49
14 N 0.5000 0.8766 0.9969  2 Bi 2.22, 2 Nd 2.38-2.49
15 N 0.6996 0.4255 0.8746  2 Bi 2.19, 1 Nd 2.40
16 N 0.6996 0.5745 0.3746  2 Bi 2.19, 1 Nd 2.40
17 O 0.1856 0.0510 0.2612  2 Bi 2.28-2.31, 1 Nd 2.46
18 O 0.1856 0.9490 0.7612  2 Bi 2.28-2.31, 1 Nd 2.46
19 O 0.8144 0.0510 0.2612  2 Bi 2.28-2.31, 1 Nd 2.46
20 O 0.8144 0.9490 0.7612  2 Bi 2.28-2.31, 1 Nd 2.46

Properties
VASP energy = -0.4878 Ry per atom

***

The following is a DFT calculation (PBE) of Sm2Se3O9 after structural relaxation.

Cell lengths 6.9397, 7.7765, 8.9860 Å; angles 71.35, 75.57, 63.81 degrees
Closest atoms and distances in Å follow each position.
Positions (direct):
1 Sm 0.1304 0.3496 0.3194  8 O 2.34-2.59
2 Sm 0.2803 0.6823 0.8703  8 O 2.34-2.55
3 Sm 0.7197 0.3177 0.1297  8 O 2.34-2.55
4 Sm 0.8696 0.6504 0.6806  8 O 2.34-2.59
5 Se 0.0403 0.8325 0.2586  3 O 1.72-1.73
6 Se 0.3127 0.2227 0.9570  3 O 1.71-1.78
7 Se 0.3743 0.7728 0.4816  3 O 1.67-1.76
8 Se 0.6257 0.2272 0.5184  3 O 1.67-1.76
9 Se 0.6873 0.7773 0.0430  3 O 1.71-1.78
10 Se 0.9597 0.1675 0.7414  3 O 1.72-1.73
11 O 0.0462 0.3317 0.5916  1 Se 1.73
12 O 0.1066 0.2064 0.1052  1 Se 1.71
13 O 0.1369 0.7945 0.6143  1 Se 1.75
14 O 0.1844 0.0196 0.8373  1 Se 1.72
15 O 0.1908 0.6633 0.1443  1 Se 1.73
16 O 0.2009 0.4334 0.8154  1 Se 1.72
17 O 0.3480 0.0071 0.4030  1 Se 1.67
18 O 0.4010 0.3370 0.0538  1 Se 1.78
19 O 0.4614 0.3287 0.3657  1 Se 1.76
20 O 0.5386 0.6713 0.6343  1 Se 1.76
21 O 0.5990 0.6630 0.9462  1 Se 1.78
22 O 0.6520 0.9929 0.5970  1 Se 1.67
23 O 0.7991 0.5666 0.1846  1 Se 1.72
24 O 0.8092 0.3367 0.8557  1 Se 1.73
25 O 0.8156 0.9804 0.1627  1 Se 1.72
26 O 0.8631 0.2055 0.3857  1 Se 1.75
27 O 0.8934 0.7936 0.8948  1 Se 1.71
28 O 0.9538 0.6683 0.4084  1 Se 1.73

Properties
VASP energy = -0.4750 Ry per atom

***

The following is a DFT calculation (PBE) of RbSn5Os3 after structural relaxation.

Cell lengths 5.5560, 5.5560, 8.8567 Å; angles 90.00, 90.00, 120.00 degrees
Closest atoms and distances in Å follow each position.
Positions (direct):
1 Rb 0.0000 0.0000 0.0000  12 Sn 3.86
2 Sn 0.0000 0.0000 0.5000  6 Os 2.78
3 Sn 0.3333 0.6667 0.2426  3 Os 2.79
4 Sn 0.3333 0.6667 0.7574  3 Os 2.79
5 Sn 0.6667 0.3333 0.2426  3 Os 2.79
6 Sn 0.6667 0.3333 0.7574  3 Os 2.79
7 Os 0.0000 0.5000 0.5000  4 Os 2.78, 6 Sn 2.78-2.79
8 Os 0.5000 0.0000 0.5000  4 Os 2.78, 6 Sn 2.78-2.79
9 Os 0.5000 0.5000 0.5000  4 Os 2.78, 6 Sn 2.78-2.79

Properties
VASP energy = -0.4316 Ry per atom

***

The following is a DFT calculation (PBE) of RbPdAuSe3 after structural relaxation.

Cell lengths 8.1731, 8.1731, 10.6536 Å; angles 90.00, 90.00, 152.70 degrees
Closest atoms and distances in Å follow each position.
Positions (direct):
1 Rb 0.2290 0.7710 0.7500  2 Au 3.44, 4 Se 3.49-3.54
2 Rb 0.7710 0.2290 0.2500  2 Au 3.44, 4 Se 3.49-3.54
3 Pd 0.5000 0.5000 0.0000  6 Se 2.54-2.75
4 Pd 0.5000 0.5000 0.5000  6 Se 2.54-2.75
5 Au 0.0914 0.9086 0.2500  2 Se 2.46
6 Au 0.9086 0.0914 0.7500  2 Se 2.46
7 Se 0.1037 0.8963 0.0195  1 Au 2.46, 2 Pd 2.54
8 Se 0.1037 0.8963 0.4805  1 Au 2.46, 2 Pd 2.54
9 Se 0.4580 0.5420 0.2500  2 Pd 2.75, 2 Au 2.87
10 Se 0.5420 0.4580 0.7500  2 Pd 2.75, 2 Au 2.87
11 Se 0.8963 0.1037 0.5195  1 Au 2.46, 2 Pd 2.54
12 Se 0.8963 0.1037 0.9805  1 Au 2.46, 2 Pd 2.54

Properties
VASP energy = -0.2687 Ry per atom

***

The following is a DFT calculation (PBE) of CsPmY after structural relaxation.

Cell lengths 5.6046, 5.6046, 5.6046 Å; angles 60.00, 60.00, 60.00 degrees
Closest atoms and distances in Å follow each position.
Positions (direct):
1 Cs 0.0000 0.0000 0.0000  4 Pm 3.43, 4 Y 3.43
2 Pm 0.2500 0.2500 0.2500  4 Cs 3.43
3 Y 0.7500 0.7500 0.7500  4 Cs 3.43

Properties
VASP energy = -0.2059 Ry per atom

***

The following is a DFT calculation (PBE) of PmCu4Ag after structural relaxation.

Cell lengths 5.1000, 5.1000, 5.1000 Å; angles 60.00, 60.00, 60.00 degrees
Closest atoms and distances in Å follow each position.
Positions (direct):
1 Pm 0.0000 0.0000 0.0000  12 Cu 2.99, 4 Ag 3.12
2 Cu 0.1296 0.6235 0.6235  6 Cu 2.52-2.58
3 Cu 0.6235 0.1296 0.6235  6 Cu 2.52-2.58
4 Cu 0.6235 0.6235 0.1296  6 Cu 2.52-2.58
5 Cu 0.6235 0.6235 0.6235  6 Cu 2.52-2.58
6 Ag 0.2500 0.2500 0.2500  12 Cu 2.99, 4 Pm 3.12

Properties
VASP energy = -0.2900 Ry per atom
E_form = -20 kJ per mole of atoms

***

The following is a DFT calculation (PBE) of LuBSb after structural relaxation.

Cell lengths 4.4191, 4.4191, 4.4191 Å; angles 60.00, 60.00, 60.00 degrees
Closest atoms and distances in Å follow each position.
Positions (direct):
1 Lu 0.0000 0.0000 0.0000  4 B 2.71
2 B 0.2500 0.2500 0.2500  4 Sb 2.71, 4 Lu 2.71
3 Sb 0.5000 0.5000 0.5000  4 B 2.71

Properties
VASP energy = -0.3533 Ry per atom